Entry 1:
This record from Alexandria describes crystalline La8Tb6Nd at its relaxed geometry. The functional is PBE.

a b c (Å): 9.2432 9.2432 21.2261
angles (deg): 90.00 90.00 120.00
Space group R-3 (No. 148, hexagonal axes)
Unique sites:
La1 0.0000 0.0000 0.0779 (multiplicity 6)
La2 0.0782 0.5191 0.3068 (multiplicity 18)
Tb1 0.0429 0.8002 0.2049 (multiplicity 18)
Nd1 0.0000 0.0000 0.5000 (multiplicity 3)

Summary:
Mass density ... 7.007 g/cm3
E_form ... 0.11 eV/atom
Uncorrected energy ... -210.8 eV for the cell shown

Entry 2:
This record from Alexandria describes crystalline PrYSn at its relaxed geometry. The functional is PBE.

a b c (Å): 12.135 3.622 8.893
angles (deg): 90.00 93.45 90.00
Space group C2/m (No. 12)
Unique sites:
Pr1 0.139 0.000 0.327 (multiplicity 4)
Y1 0.135 0.000 0.911 (multiplicity 4)
Sn1 0.095 0.500 0.625 (multiplicity 4)

Summary:
Offset from the most stable computed form ... 251 meV per atom
Mass density ... 5.933 g/cm3
E_form ... -0.35 eV/atom
Uncorrected energy ... -65.2 eV for the cell shown

Entry 3:
This record from Alexandria describes crystalline Na3Dy2PaSe6 at its relaxed geometry. The functional is PBE.

a b c (Å): 7.156 12.395 7.446
angles (deg): 90.00 108.68 90.00
Space group C2/m (No. 12)
Unique sites:
Na1 0.000 0.000 0.000 (multiplicity 2)
Na2 0.000 0.333 0.000 (multiplicity 4)
Dy1 0.000 0.167 0.500 (multiplicity 4)
Pa1 0.000 0.500 0.500 (multiplicity 2)
Se1 0.244 0.333 0.733 (multiplicity 8)
Se2 0.245 0.000 0.733 (multiplicity 4)

Summary:
E_form (uncorrected) ... -1535 meV/atom
Mass density ... 5.832 g/cm3
Uncorrected energy ... -124.0 eV for the cell shown

Entry 4:
This record from Alexandria describes crystalline Pr2HOs at its relaxed geometry. The functional is PBE.

a b c (Å): 4.1435 4.1435 18.3678
angles (deg): 90.00 90.00 120.00
Space group R-3m (No. 166, hexagonal axes)
Unique sites:
Pr1 0.0000 0.0000 0.2479 (multiplicity 6)
H1 0.0000 0.0000 0.5000 (multiplicity 3)
Os1 0.0000 0.0000 0.0000 (multiplicity 3)

Summary:
Mass density ... 8.629 g/cm3
Uncorrected energy ... -72.2 eV for the cell shown

Entry 5:
This record from Alexandria describes crystalline Cs3CaU3S8 at its relaxed geometry. The functional is PBE.

a b c (Å): 8.1759 8.1759 24.4706
angles (deg): 90.00 90.00 120.00
Space group R-3m (No. 166, hexagonal axes)
Unique sites:
Cs1 0.0000 0.5000 0.0000 (multiplicity 9)
Ca1 0.0000 0.0000 0.5000 (multiplicity 3)
U1 0.0000 0.5000 0.5000 (multiplicity 9)
S1 0.0000 0.0000 0.2267 (multiplicity 6)
S2 0.0134 0.5067 0.7741 (multiplicity 18)

Summary:
E_form (uncorrected) ... -1497 meV/atom
Mass density ... 4.956 g/cm3
Uncorrected energy ... -281.7 eV for the cell shown

Entry 6:
This record from Alexandria describes crystalline Nd2NiSb4Pt3 at its relaxed geometry. The functional is PBE.

a b c (Å): 4.577 4.577 10.745
angles (deg): 90.00 90.00 90.00
Space group P-4m2 (No. 115)
Unique sites:
Nd1 0.000 0.500 0.230 (multiplicity 2)
Ni1 0.500 0.500 0.000 (multiplicity 1)
Sb1 0.000 0.000 0.500 (multiplicity 1)
Sb2 0.000 0.500 0.877 (multiplicity 2)
Sb3 0.500 0.500 0.500 (multiplicity 1)
Pt1 0.000 0.000 0.000 (multiplicity 1)
Pt2 0.000 0.500 0.635 (multiplicity 2)

Summary:
E_form (uncorrected) ... -762 meV/atom
Mass density ... 10.470 g/cm3
Uncorrected energy ... -57.5 eV for the cell shown

Entry 7:
This record from Alexandria describes crystalline LiSmThAu at its relaxed geometry. The functional is PBE.

a b c (Å): 7.398 7.398 7.398
angles (deg): 90.00 90.00 90.00
Space group F-43m (No. 216)
Unique sites:
Li1 0.000 0.000 0.000 (multiplicity 4)
Sm1 0.250 0.250 0.750 (multiplicity 4)
Th1 0.250 0.250 0.250 (multiplicity 4)
Au1 0.000 0.000 0.500 (multiplicity 4)

Summary:
Mass density ... 9.620 g/cm3
E_form ... -0.21 eV/atom
Uncorrected energy ... -72.6 eV for the cell shown

Entry 8:
This record from Alexandria describes crystalline MnHgRu at its relaxed geometry. The functional is PBE.

a b c (Å): 5.997 5.997 5.997
angles (deg): 90.00 90.00 90.00
Space group F-43m (No. 216)
Unique sites:
Mn1 0.000 0.000 0.000 (multiplicity 4)
Hg1 0.250 0.250 0.250 (multiplicity 4)
Ru1 0.250 0.250 0.750 (multiplicity 4)

Summary:
Offset from the most stable computed form ... 408 meV per atom
Mass density ... 10.979 g/cm3
E_form ... 0.69 eV/atom
Uncorrected energy ... -66.7 eV for the cell shown

Entry 9:
This record from Alexandria describes crystalline CuRe2MoPd at its relaxed geometry. The functional is PBE.

a b c (Å): 4.685 4.685 4.845
angles (deg): 90.00 90.00 90.00
Space group P4/mmm (No. 123)
Unique sites:
Cu1 0.000 0.000 0.000 (multiplicity 1)
Re1 0.000 0.500 0.500 (multiplicity 2)
Mo1 0.500 0.500 0.500 (multiplicity 1)
Pd1 0.500 0.500 0.000 (multiplicity 1)

Summary:
Mass density ... 9.969 g/cm3
E_form ... 2.05 eV/atom
Uncorrected energy ... -34.7 eV for the cell shown

Entry 10:
This record from Alexandria describes crystalline Ni5Te4 at its relaxed geometry. The functional is PBE.

a b c (Å): 9.132 9.132 3.806
angles (deg): 90.00 90.00 90.00
Space group I4/mmm (No. 139)
Unique sites:
Ni1 0.000 0.000 0.000 (multiplicity 2)
Ni2 0.172 0.172 0.500 (multiplicity 8)
Te1 0.000 0.276 0.000 (multiplicity 8)

Summary:
Offset from the most stable computed form ... 0 meV per atom
E_form (uncorrected) ... -4 meV/atom
Mass density ... 8.411 g/cm3
Uncorrected energy ... -83.0 eV for the cell shown

Entry 11:
This record from Alexandria describes crystalline Li2TmMg5Sc2 at its relaxed geometry. The functional is PBE.

a b c (Å): 10.153 10.153 4.433
angles (deg): 90.00 90.00 90.00
Space group P4/mbm (No. 127)
Unique sites:
Li1 0.117 0.383 0.000 (multiplicity 4)
Tm1 0.000 0.000 0.000 (multiplicity 2)
Mg1 0.000 0.500 0.500 (multiplicity 2)
Mg2 0.068 0.212 0.500 (multiplicity 8)
Sc1 0.178 0.678 0.000 (multiplicity 4)

Summary:
Mass density ... 2.865 g/cm3
E_form ... 0.05 eV/atom
Uncorrected energy ... -57.0 eV for the cell shown

Entry 12:
This record from Alexandria describes crystalline CaFe2P at its relaxed geometry. The functional is PBE.

a b c (Å): 4.378 4.378 15.351
angles (deg): 90.00 90.00 90.00
Space group I4_1/amd (No. 141, origin choice 2)
Unique sites:
Ca1 0.000 0.250 0.375 (multiplicity 4)
Fe1 0.000 0.000 0.000 (multiplicity 8)
P1 0.000 0.250 0.875 (multiplicity 4)

Summary:
Mass density ... 4.125 g/cm3
E_form ... 0.05 eV/atom
Uncorrected energy ... -96.6 eV for the cell shown

Entry 13:
This record from Alexandria describes crystalline PmEuCu4 at its relaxed geometry. The functional is PBE.

a b c (Å): 7.580 7.580 7.580
angles (deg): 90.00 90.00 90.00
Space group F-43m (No. 216)
Unique sites:
Pm1 0.000 0.000 0.000 (multiplicity 4)
Eu1 0.250 0.250 0.250 (multiplicity 4)
Cu1 0.125 0.125 0.625 (multiplicity 16)

Summary:
Mass density ... 8.405 g/cm3
E_form ... -0.07 eV/atom
Uncorrected energy ... -127.4 eV for the cell shown

Entry 14:
This record from Alexandria describes crystalline BaLa at its relaxed geometry. The functional is PBE.

a b c (Å): 3.9834 3.9834 13.2825
angles (deg): 90.00 90.00 120.00
Space group P6_3/mmc (No. 194)
Unique sites:
Ba1 0.0000 0.0000 0.0000 (multiplicity 2)
La1 0.3333 0.6667 0.2500 (multiplicity 2)

Summary:
Offset from the most stable computed form ... 99 meV per atom
Mass density ... 5.026 g/cm3
E_form ... 0.20 eV/atom
Uncorrected energy ... -12.9 eV for the cell shown

Entry 15:
This record from Alexandria describes crystalline Tc2MoP at its relaxed geometry. The functional is PBE.

a b c (Å): 3.094 4.634 8.091
angles (deg): 90.00 90.00 90.00
Space group Cmm2 (No. 35)
Unique sites:
Tc1 0.000 0.000 0.000 (multiplicity 2)
Tc2 0.000 0.500 0.279 (multiplicity 2)
Mo1 0.000 0.000 0.549 (multiplicity 2)
P1 0.000 0.500 0.783 (multiplicity 2)

Summary:
Mass density ... 9.245 g/cm3
E_form ... 0.17 eV/atom
Uncorrected energy ... -72.6 eV for the cell shown

Entry 16:
This record from Alexandria describes crystalline Ag6SeCl3F2 at its relaxed geometry. The functional is PBE.

a b c (Å): 6.598 11.588 6.552
angles (deg): 90.00 109.25 90.00
Space group C2/m (No. 12)
Unique sites:
Ag1 0.229 0.000 0.225 (multiplicity 4)
Ag2 0.246 0.329 0.219 (multiplicity 8)
Se1 0.000 0.500 0.000 (multiplicity 2)
Cl1 0.000 0.000 0.500 (multiplicity 2)
Cl2 0.000 0.319 0.500 (multiplicity 4)
F1 0.000 0.167 0.000 (multiplicity 4)

Summary:
E_form (uncorrected) ... -525 meV/atom
Mass density ... 6.113 g/cm3
Uncorrected energy ... -72.4 eV for the cell shown

Entry 17:
This record from Alexandria describes crystalline GaPdPt6 at its relaxed geometry. The functional is PBE.

a b c (Å): 3.955 3.955 7.904
angles (deg): 90.00 90.00 90.00
Space group P4/mmm (No. 123)
Unique sites:
Ga1 0.000 0.000 0.000 (multiplicity 1)
Pd1 0.000 0.000 0.500 (multiplicity 1)
Pt1 0.000 0.500 0.245 (multiplicity 4)
Pt2 0.500 0.500 0.000 (multiplicity 1)
Pt3 0.500 0.500 0.500 (multiplicity 1)

Summary:
Offset from the most stable computed form ... 0 meV per atom
Mass density ... 18.087 g/cm3
E_form ... -0.22 eV/atom
Uncorrected energy ... -46.2 eV for the cell shown

Entry 18:
This record from Alexandria describes crystalline LiTmAs at its relaxed geometry. The functional is PBE.

a b c (Å): 6.431 6.431 6.431
angles (deg): 90.00 90.00 90.00
Space group F-43m (No. 216)
Unique sites:
Li1 0.000 0.000 0.000 (multiplicity 4)
Tm1 0.000 0.000 0.500 (multiplicity 4)
As1 0.250 0.250 0.750 (multiplicity 4)

Summary:
Offset from the most stable computed form ... 80 meV per atom
Mass density ... 6.264 g/cm3
E_form ... -0.84 eV/atom
Uncorrected energy ... -54.2 eV for the cell shown

Entry 19:
This record from Alexandria describes crystalline Ba3Au2 at its relaxed geometry. The functional is PBE.

a b c (Å): 10.2199 10.2199 19.5698
angles (deg): 90.00 90.00 120.00
Space group R-3 (No. 148, hexagonal axes)
Unique sites:
Ba1 0.0000 0.0000 0.0000 (multiplicity 3)
Ba2 0.0000 0.0000 0.1992 (multiplicity 6)
Ba3 0.0086 0.2633 0.5922 (multiplicity 18)
Au1 0.0225 0.6153 0.5705 (multiplicity 18)

Summary:
Offset from the most stable computed form ... 0 meV per atom
Mass density ... 6.804 g/cm3
E_form ... -0.60 eV/atom
Uncorrected energy ... -138.1 eV for the cell shown

Entry 20:
This record from Alexandria describes crystalline LaThSn2Rh5 at its relaxed geometry. The functional is PBE.

a b c (Å): 4.470 4.470 9.127
angles (deg): 90.00 90.00 90.00
Space group P4/mmm (No. 123)
Unique sites:
La1 0.000 0.000 0.000 (multiplicity 1)
Th1 0.000 0.000 0.500 (multiplicity 1)
Sn1 0.500 0.500 0.348 (multiplicity 2)
Rh1 0.000 0.500 0.217 (multiplicity 4)
Rh2 0.500 0.500 0.000 (multiplicity 1)

Summary:
Mass density ... 10.223 g/cm3
E_form ... -0.49 eV/atom
Uncorrected energy ... -61.5 eV for the cell shown

Entry 21:
This record from Alexandria describes crystalline Sm3Er4Th2 at its relaxed geometry. The functional is PBE.

a b c (Å): 16.490 5.779 6.362
angles (deg): 90.00 105.35 90.00
Space group C2/m (No. 12)
Unique sites:
Sm1 0.000 0.000 0.000 (multiplicity 2)
Sm2 0.128 0.000 0.567 (multiplicity 4)
Er1 0.061 0.500 0.741 (multiplicity 4)
Er2 0.230 0.000 0.133 (multiplicity 4)
Th1 0.145 0.500 0.281 (multiplicity 4)

Summary:
Offset from the most stable computed form ... 125 meV per atom
Mass density ... 8.999 g/cm3
E_form ... 0.13 eV/atom
Uncorrected energy ... -92.2 eV for the cell shown

Entry 22:
This record from Alexandria describes crystalline TeAs at its relaxed geometry. The functional is PBE.

a b c (Å): 5.958 5.958 6.285
angles (deg): 90.00 90.00 90.00
Space group I4/mmm (No. 139)
Unique sites:
Te1 0.000 0.500 0.250 (multiplicity 4)
As1 0.000 0.000 0.199 (multiplicity 4)

Summary:
E_form (uncorrected) ... 70 meV/atom
Mass density ... 6.028 g/cm3
Uncorrected energy ... -30.6 eV for the cell shown

Entry 23:
This record from Alexandria describes crystalline CaAcBi at its relaxed geometry. The functional is PBE.

a b c (Å): 4.950 4.960 9.101
angles (deg): 90.00 90.00 90.00
Space group Pmmn (No. 59, origin choice 2)
Unique sites:
Ca1 0.250 0.250 0.146 (multiplicity 2)
Ac1 0.250 0.750 0.491 (multiplicity 2)
Bi1 0.250 0.250 0.790 (multiplicity 2)

Summary:
Offset from the most stable computed form ... 0 meV per atom
Mass density ... 7.075 g/cm3
E_form ... -0.59 eV/atom
Uncorrected energy ... -23.5 eV for the cell shown